# Gd2AsN, optimized geometry, DFT GGA-PBE
data_Gd2AsN
_chemical_formula_sum 'Gd6 As3 N3'
_cell_length_a 3.7823
_cell_length_b 3.7823
_cell_length_c 19.4111
_cell_angle_alpha 90.00
_cell_angle_beta 90.00
_cell_angle_gamma 120.00
_symmetry_space_group_name_H-M 'R -3 m'
_symmetry_Int_Tables_number 166
_symmetry_space_group_name_Hall '-R 3 2"'
loop_
_atom_site_label
_atom_site_type_symbol
_atom_site_fract_x
_atom_site_fract_y
_atom_site_fract_z
Gd1 Gd 0.0000 0.0000 0.2371
As1 As 0.0000 0.0000 0.0000
N1 N 0.0000 0.0000 0.5000
# N(E_F) = 2.1 states/eV per cell
# E_form (uncorrected) = -1.382 eV per atom
# total energy = -140.00 eV/cell
# calculated volume = 20.0 Å³/atom